1.
Entry from the Alexandria database: an optimized crystal structure of AcLaEr5 (PBE).

Values from the calculation:
E_form, kJ per mole of atoms: 9
Raw total energy, eV per atom: -4.45

a = 8.9751 Å, b = 9.8464 Å, c = 11.5215 Å
α = 90.00°, β = 110.61°, γ = 90.00°
Closest atoms and distances in Å follow each position.
Space group C2/c (No. 15)
Symmetry-distinct sites (fractional):
Ac  0.2500  0.2500  0.0000 x4  6 Er 3.42-3.68
La  0.0000  0.2332  0.2500 x4  9 Er 3.38-3.65
Er  0.0000  0.4239  0.7500 x4  6 Er 3.32-3.56, 1 La 3.38, 2 Ac 3.42
Er  0.1276  0.0761  0.6661 x8  6 Er 3.44-3.84, 2 La 3.51-3.65, 1 Ac 3.68
Er  0.1665  0.3973  0.5350 x8  6 Er 3.32-3.57, 2 La 3.40-3.49, 1 Ac 3.61


2.
Entry from the Alexandria database: an optimized crystal structure of AcLaEr2 (PBE).

Values from the calculation:
E_form, kJ per mole of atoms: 4
Raw total energy, eV per atom: -4.50
E above lowest polymorph, eV per atom: 0.0025

a = 3.8147 Å, b = 3.8147 Å, c = 9.7611 Å
α = 90.00°, β = 90.00°, γ = 90.00°
Closest atoms and distances in Å follow each position.
Space group P4/mmm (No. 123)
Symmetry-distinct sites (fractional):
Ac  0.0000  0.0000  0.0000 x1  8 Er 3.69, 4 Ac 3.81
La  0.0000  0.0000  0.5000 x1  8 Er 3.59, 4 La 3.81
Er  0.5000  0.5000  0.2581 x2  4 La 3.59, 4 Ac 3.69, 4 Er 3.81


3.
Entry from the Alexandria database: an optimized crystal structure of AcLa2Er6 (PBE).

Values from the calculation:
E_form, kJ per mole of atoms: 17
Raw total energy, eV per atom: -4.42

a = 11.1743 Å, b = 6.8043 Å, c = 8.8982 Å
α = 90.00°, β = 110.46°, γ = 90.00°
Closest atoms and distances in Å follow each position.
Space group C2/m (No. 12)
Symmetry-distinct sites (fractional):
Ac  0.0000  0.0000  0.0000 x2  6 Er 3.51-3.72, 2 La 3.80
La  0.2433  0.5000  0.1896 x4  5 Er 3.40-3.68, 1 Ac 3.80
Er  0.0976  0.2385  0.4017 x8  6 Er 3.24-3.56, 1 La 3.40
Er  0.1768  0.5000  0.7540 x4  6 Er 3.39-3.65, 1 Ac 3.51, 3 La 3.51-3.68


4.
Entry from the Alexandria database: an optimized crystal structure of AcLa14Er (PBE).

Values from the calculation:
E_form, kJ per mole of atoms: 1
Raw total energy, eV per atom: -4.84

a = 10.5771 Å, b = 10.5231 Å, c = 10.5168 Å
α = 90.00°, β = 90.00°, γ = 90.00°
Closest atoms and distances in Å follow each position.
Space group Amm2 (No. 38)
Symmetry-distinct sites (fractional):
Ac  0.0000  0.0000  0.0000 x2  12 La 3.72-3.77
La  0.0000  0.2504  0.2498 x4  2 Ac 3.72, 2 Er 3.72, 8 La 3.73-3.74
La  0.2503  0.0000  0.7449 x4  10 La 3.65-3.79, 1 Er 3.70, 1 Ac 3.77
La  0.2505  0.2451  0.4997 x8  10 La 3.65-3.79, 1 Er 3.70, 1 Ac 3.77
La  0.2508  0.0000  0.2546 x4  10 La 3.65-3.79, 1 Er 3.70, 1 Ac 3.77
La  0.5000  0.0000  0.5005 x2  12 La 3.69-3.73
La  0.5000  0.0000  0.9992 x2  12 La 3.72-3.76
La  0.5000  0.2500  0.2497 x4  12 La 3.71-3.73
Er  0.0000  0.0000  0.4995 x2  12 La 3.70-3.72


5.
Entry from the Alexandria database: an optimized crystal structure of Ac7La2Er2 (PBE).

Values from the calculation:
E_form, kJ per mole of atoms: 16
Raw total energy, eV per atom: -4.18

a = 6.1409 Å, b = 7.3786 Å, c = 10.3604 Å
α = 97.67°, β = 90.00°, γ = 90.04°
Closest atoms and distances in Å follow each position.
Space group P-1 (No. 2)
Symmetry-distinct sites (fractional):
Ac  0.0000  0.0000  0.0000 x1  4 Er 3.69, 2 Ac 3.95
Ac  0.9996  0.4464  0.8283 x2  4 Ac 3.54-3.95, 2 La 3.88-3.96, 4 Er 3.89-3.92
Ac  0.4995  0.9985  0.2963 x2  2 Er 3.56-3.82, 2 Ac 3.60-3.83, 2 La 3.88
Ac  0.4997  0.4772  0.6592 x2  4 Ac 3.36-3.60, 1 Er 3.63
La  0.9996  0.2533  0.4615 x2  2 La 3.62-3.92, 8 Ac 3.88-3.96
Er  0.5000  0.2794  0.0118 x2  1 Er 3.30, 3 Ac 3.56-3.69


6.
Entry from the Alexandria database: an optimized crystal structure of AcLa7Er2 (PBE).

Values from the calculation:
E_form, kJ per mole of atoms: 51
Raw total energy, eV per atom: -4.24

a = 9.3751 Å, b = 15.0002 Å, c = 6.0348 Å
α = 90.00°, β = 90.00°, γ = 90.00°
Closest atoms and distances in Å follow each position.
Space group Cmmm (No. 65)
Symmetry-distinct sites (fractional):
Ac  0.0000  0.0000  0.0000 x2  8 La 3.90
La  0.0000  0.3358  0.0000 x4  2 Er 3.12
La  0.0000  0.5000  0.5000 x2  2 Er 3.25, 4 La 3.30
La  0.1954  0.1106  0.5000 x8  2 Er 3.17-3.27, 2 La 3.30-3.32
Er  0.0000  0.2830  0.5000 x4  7 La 3.12-3.27


7.
Entry from the Alexandria database: an optimized crystal structure of Ac3La2Er6 (PBE).

Values from the calculation:
E_form, kJ per mole of atoms: 28
Raw total energy, eV per atom: -4.21

a = 8.5441 Å, b = 10.9036 Å, c = 8.8371 Å
α = 90.00°, β = 100.06°, γ = 90.00°
Closest atoms and distances in Å follow each position.
Space group C2/m (No. 12)
Symmetry-distinct sites (fractional):
Ac  0.0000  0.0000  0.0000 x2  2 Ac 3.68, 4 Er 3.72
Ac  0.0000  0.3371  0.0000 x4  6 Er 3.51-3.77, 2 Ac 3.55-3.68
La  0.0000  0.1340  0.5000 x4  1 La 2.92, 4 Er 3.21-3.23
Er  0.1322  0.5000  0.3617 x4  5 Er 3.44-3.61, 2 La 3.49, 2 Ac 3.66
Er  0.2193  0.3360  0.6985 x8  2 La 3.21-3.23, 3 Er 3.44-3.58, 1 Ac 3.51


8.
Entry from the Alexandria database: an optimized crystal structure of Ac15La4Er (PBE).

Values from the calculation:
E_form, kJ per mole of atoms: 3
Raw total energy, eV per atom: -4.27

a = 5.5505 Å, b = 5.5505 Å, c = 27.7089 Å
α = 90.00°, β = 90.00°, γ = 90.00°
Closest atoms and distances in Å follow each position.
Space group P4/mmm (No. 123)
Symmetry-distinct sites (fractional):
Ac  0.0000  0.0000  0.0000 x1  8 Ac 3.88, 4 Er 3.92
Ac  0.0000  0.0000  0.1980 x2  4 La 3.92, 8 Ac 3.93-3.94
Ac  0.0000  0.0000  0.3993 x2  4 La 3.92, 8 Ac 3.93-3.94
Ac  0.0000  0.5000  0.0977 x4  8 Ac 3.88-3.93, 2 Er 3.88, 2 La 3.93
Ac  0.0000  0.5000  0.2987 x4  8 Ac 3.92-3.94, 4 La 3.93
Ac  0.0000  0.5000  0.5000 x2  8 Ac 3.92-3.94, 4 La 3.93
La  0.5000  0.5000  0.1983 x2  12 Ac 3.92-3.93
La  0.5000  0.5000  0.3993 x2  12 Ac 3.92-3.93
Er  0.5000  0.5000  0.0000 x1  12 Ac 3.88-3.92


9.
Entry from the Alexandria database: an optimized crystal structure of AcLa2Er (PBE).

Values from the calculation:
E_form, kJ per mole of atoms: 2
Raw total energy, eV per atom: -4.61
E above lowest polymorph, eV per atom: 0.0000

a = 5.2699 Å, b = 5.2699 Å, c = 5.3055 Å
α = 90.00°, β = 90.00°, γ = 90.00°
Closest atoms and distances in Å follow each position.
Space group P4/mmm (No. 123)
Symmetry-distinct sites (fractional):
Ac  0.0000  0.0000  0.0000 x1  4 Er 3.73, 8 La 3.74
La  0.0000  0.5000  0.5000 x2  4 La 3.73, 4 Er 3.74, 4 Ac 3.74
Er  0.5000  0.5000  0.0000 x1  4 Ac 3.73, 8 La 3.74


10.
Entry from the Alexandria database: an optimized crystal structure of Ac5La12Er (PBE).

Values from the calculation:
E_form, kJ per mole of atoms: 2
Raw total energy, eV per atom: -4.66

a = 19.6266 Å, b = 11.4504 Å, c = 6.5340 Å
α = 90.00°, β = 108.77°, γ = 90.00°
Closest atoms and distances in Å follow each position.
Space group C2/m (No. 12)
Symmetry-distinct sites (fractional):
Ac  0.0000  0.0000  0.0000 x2  10 La 3.81-3.84, 2 Ac 3.83
Ac  0.1643  0.5000  0.9890 x4  1 Er 3.74, 10 La 3.76-3.83, 1 Ac 3.85
Ac  0.1673  0.0000  0.5048 x4  10 La 3.79-3.85, 2 Ac 3.83-3.85
La  0.0000  0.1769  0.5000 x4  7 La 3.69-4.05, 1 Er 3.70, 4 Ac 3.84-3.85
La  0.0000  0.3340  0.0000 x4  7 La 3.73-3.80, 3 Ac 3.76-3.82, 2 Er 3.78
La  0.1644  0.3312  0.4952 x8  7 La 3.69-3.86, 4 Ac 3.76-3.83, 1 Er 3.77
La  0.1670  0.1712  0.0027 x8  7 La 3.72-3.92, 5 Ac 3.77-3.83
Er  0.0000  0.5000  0.5000 x2  10 La 3.70-3.78, 2 Ac 3.74


11.
Entry from the Alexandria database: an optimized crystal structure of AcLa4Er5 (PBE).

Values from the calculation:
E_form, kJ per mole of atoms: 4
Raw total energy, eV per atom: -4.63

a = 3.7429 Å, b = 3.7429 Å, c = 24.6182 Å
α = 90.00°, β = 90.00°, γ = 90.00°
Closest atoms and distances in Å follow each position.
Space group P4/mmm (No. 123)
Symmetry-distinct sites (fractional):
Ac  0.0000  0.0000  0.0000 x1  8 Er 3.70, 4 Ac 3.74
La  0.0000  0.0000  0.2038 x2  8 Er 3.59-3.60, 4 La 3.74
La  0.0000  0.0000  0.4014 x2  8 Er 3.59, 4 La 3.74
Er  0.5000  0.5000  0.1052 x2  4 La 3.59, 4 Ac 3.70, 4 Er 3.74
Er  0.5000  0.5000  0.3029 x2  8 La 3.59-3.60, 4 Er 3.74
Er  0.5000  0.5000  0.5000 x1  8 La 3.59, 4 Er 3.74


12.
Entry from the Alexandria database: an optimized crystal structure of AcLa10Er4 (PBE).

Values from the calculation:
E_form, kJ per mole of atoms: 41
Raw total energy, eV per atom: -4.35

a = 12.6977 Å, b = 12.6977 Å, c = 7.0553 Å
α = 90.00°, β = 90.00°, γ = 90.00°
Closest atoms and distances in Å follow each position.
Space group I4/m (No. 87)
Symmetry-distinct sites (fractional):
Ac  0.0000  0.0000  0.0000 x2  8 Er 4.26, 8 La 4.32
La  0.0000  0.5000  0.2500 x4  4 La 3.14
La  0.1258  0.7131  0.2383 x16  3 La 3.14-3.36, 2 Er 3.39-3.40
Er  0.0681  0.1752  0.5000 x8  2 Er 3.37, 6 La 3.39-3.55